No. 1
{"formula": "Zr3Sc", "functional": "PBEsol", "state": "relaxed", "lattice_angstrom": [[1.578, 0.911, 10.354], [-1.578, 0.911, 10.354], [0.000, -1.822, 10.354]], "species": ["Zr", "Zr", "Zr", "Sc"], "frac_coords": [[0.000, 0.000, 0.000], [0.251, 0.251, 0.251], [0.749, 0.749, 0.749], [0.500, 0.500, 0.500]], "delta_e_f_ev_per_atom": 0.039, "vol_a3_per_atom": 22.332, "dos_at_fermi_per_ev_cell": 5.52, "final_energy_ev_per_cell": -33.72}

No. 2
{"formula": "ZrSc2", "functional": "PBEsol", "state": "relaxed", "lattice_angstrom": [[2.252, -6.767, 0.000], [2.252, 6.767, 0.000], [0.000, 0.000, 4.467]], "species": ["Zr", "Zr", "Sc", "Sc", "Sc", "Sc"], "frac_coords": [[0.080, 0.920, 0.750], [0.920, 0.080, 0.250], [0.250, 0.750, 0.250], [0.419, 0.581, 0.750], [0.581, 0.419, 0.250], [0.750, 0.250, 0.750]], "delta_e_f_ev_per_atom": 0.023, "vol_a3_per_atom": 22.696, "dos_at_fermi_per_ev_cell": 7.78, "final_energy_ev_per_cell": -44.46}

No. 3
{"formula": "ZrSc3", "functional": "PBEsol", "state": "relaxed", "lattice_angstrom": [[1.593, 0.920, 10.442], [-1.593, 0.920, 10.442], [0.000, -1.840, 10.442]], "species": ["Zr", "Sc", "Sc", "Sc"], "frac_coords": [[0.000, 0.000, 0.000], [0.252, 0.252, 0.252], [0.500, 0.500, 0.500], [0.748, 0.748, 0.748]], "delta_e_f_ev_per_atom": 0.038, "vol_a3_per_atom": 22.955, "dos_at_fermi_per_ev_cell": 6.60, "final_energy_ev_per_cell": -28.75}

No. 4
{"formula": "ZrSc3", "functional": "PBEsol", "state": "relaxed", "lattice_angstrom": [[5.266, -1.585, 0.000], [5.266, 1.585, 0.000], [-0.943, 0.000, 5.468]], "species": ["Zr", "Sc", "Sc", "Sc"], "frac_coords": [[0.000, 0.000, 0.000], [0.252, 0.252, 0.759], [0.500, 0.500, 0.500], [0.748, 0.748, 0.241]], "delta_e_f_ev_per_atom": 0.033, "vol_a3_per_atom": 22.816, "dos_at_fermi_per_ev_cell": 6.07, "final_energy_ev_per_cell": -28.77}